1.
## Tb4YNi4 (PBE)

Data for an optimized crystal structure of Tb4YNi4.

ΔE_f = -2.3 eV per formula unit
mass density = 7.723 g/cm3
calculated volume = 413 Å³ per cell
total moment = 0.0 μB per cell

a = 8.546 Å, b = 8.546 Å, c = 5.648 Å
α = 90.00°, β = 90.00°, γ = 90.00°
Positions (direct):
Tb 0.066 0.663 0.151
Tb 0.163 0.934 0.651
Tb 0.337 0.566 0.651
Tb 0.434 0.837 0.151
Tb 0.566 0.163 0.849
Tb 0.663 0.434 0.349
Tb 0.837 0.066 0.349
Tb 0.934 0.337 0.849
Y 0.250 0.250 0.250
Y 0.750 0.750 0.750
Ni 0.026 0.616 0.636
Ni 0.116 0.974 0.136
Ni 0.384 0.526 0.136
Ni 0.474 0.884 0.636
Ni 0.526 0.116 0.364
Ni 0.616 0.474 0.864
Ni 0.884 0.026 0.864
Ni 0.974 0.384 0.364



2.
## TbYNi10 (PBE)

Data for an optimized crystal structure of TbYNi10.

ΔE_f = -3.9 eV per formula unit
mass density = 8.465 g/cm3
calculated volume = 164 Å³ per cell
total moment = 2.8 μB per cell

a = 3.956 Å, b = 4.892 Å, c = 8.463 Å
α = 90.00°, β = 90.00°, γ = 90.00°
Positions (direct):
Tb 0.000 0.000 0.000
Y 0.000 0.500 0.500
Ni 0.000 0.000 0.333
Ni 0.000 0.000 0.667
Ni 0.000 0.500 0.166
Ni 0.000 0.500 0.834
Ni 0.500 0.000 0.500
Ni 0.500 0.250 0.250
Ni 0.500 0.250 0.750
Ni 0.500 0.500 0.000
Ni 0.500 0.750 0.250
Ni 0.500 0.750 0.750



3.
## TbYNi2 (PBE)

Data for an optimized crystal structure of TbYNi2.

ΔE_f = -1.5 eV per formula unit
mass density = 7.787 g/cm3
calculated volume = 78 Å³ per cell
total moment = 0.0 μB per cell

a = 4.829 Å, b = 4.829 Å, c = 3.340 Å
α = 90.00°, β = 90.00°, γ = 90.00°
Positions (direct):
Tb 0.000 0.000 0.000
Y 0.500 0.500 0.000
Ni 0.000 0.500 0.500
Ni 0.500 0.000 0.500